No. 1
The following is a DFT calculation (PBE-GGA) of crystalline SrTlMo at its relaxed geometry.

abc: 5.0454 5.0454 5.0454
angles: 60.00 60.00 60.00
Positions (direct):
Mo (0.0000, 0.0000, 0.0000)
Sr (0.2500, 0.2500, 0.2500)
Tl (0.7500, 0.7500, 0.7500)

Output
electronic total energy = -4.0160 eV per atom
total moment = 3.002 μB per formula unit
space group = No. 216
distance to the lowest polymorph of the same formula = 0 meV per atom

=====

No. 2
The following is a DFT calculation (PBE-GGA) of crystalline HoZrTeC at its relaxed geometry.

abc: 3.6621 3.6621 13.7650
angles: 90.00 90.00 120.00
Positions (direct):
Zr (0.6667, 0.3333, 0.5851)
Zr (0.3333, 0.6667, 0.4149)
C (0.0000, 0.0000, 0.0000)
C (0.0000, 0.0000, 0.5000)
Ho (0.6667, 0.3333, 0.9049)
Ho (0.3333, 0.6667, 0.0951)
Te (0.3333, 0.6667, 0.7363)
Te (0.6667, 0.3333, 0.2637)

Output
electronic total energy = -7.2391 eV per atom
total moment = 0.001 μB per formula unit
space group = No. 164
distance to the lowest polymorph of the same formula = 0 meV per atom

=====

No. 3
The following is a DFT calculation (PBE-GGA) of crystalline PrPtNO at its relaxed geometry.

abc: 7.1855 6.5668 5.1296
angles: 90.00 90.00 90.00
Positions (direct):
N (0.5744, 0.6398, 0.4861)
N (0.9256, 0.6398, 0.9861)
N (0.4256, 0.3602, 0.9861)
N (0.0744, 0.3602, 0.4861)
Pr (0.9132, 0.6933, 0.4979)
Pr (0.5868, 0.6933, 0.9979)
Pr (0.0868, 0.3067, 0.9979)
Pr (0.4132, 0.3067, 0.4979)
O (0.8897, 0.0341, 0.1941)
O (0.1103, 0.9659, 0.6941)
O (0.6103, 0.0341, 0.6941)
O (0.3897, 0.9659, 0.1941)
Pt (0.6656, 0.1969, 0.0243)
Pt (0.1656, 0.8031, 0.0243)
Pt (0.3344, 0.8031, 0.5243)
Pt (0.8344, 0.1969, 0.5243)

Output
electronic total energy = -6.8637 eV per atom
total moment = 0.001 μB per formula unit
space group = No. 29
distance to the lowest polymorph of the same formula = 417 meV per atom

=====

No. 4
The following is a DFT calculation (PBE-GGA) of crystalline Ho3ErSn2B2 at its relaxed geometry.

abc: 3.6304 3.6304 16.4121
angles: 90.00 90.00 120.00
Positions (direct):
Ho (0.0000, 0.0000, 0.5931)
Ho (0.6667, 0.3333, 0.4071)
Ho (0.6667, 0.3333, 0.0923)
Sn (0.6667, 0.3333, 0.7507)
Sn (0.0000, 0.0000, 0.2498)
Er (0.0000, 0.0000, 0.9074)
B (0.3333, 0.6667, 0.9994)
B (0.3333, 0.6667, 0.5001)

Output
electronic total energy = -5.2157 eV per atom
total moment = 0.020 μB per formula unit
space group = No. 156

=====

No. 5
The following is a DFT calculation (PBE-GGA) of crystalline HoOsPd at its relaxed geometry.

abc: 4.4965 4.4965 4.4965
angles: 60.00 60.00 60.00
Positions (direct):
Ho (0.0000, 0.0000, 0.0000)
Pd (0.2500, 0.2500, 0.2500)
Os (0.7500, 0.7500, 0.7500)

Output
electronic total energy = -6.2745 eV per atom
total moment = 0.113 μB per formula unit
space group = No. 216
distance to the lowest polymorph of the same formula = 393 meV per atom
energy relative to the elements = 0.718 eV/atom

=====

No. 6
The following is a DFT calculation (PBE-GGA) of crystalline Li2NdP2Pd at its relaxed geometry.

abc: 4.1336 4.1336 6.6204
angles: 90.00 90.00 120.00
Positions (direct):
P (0.6667, 0.3333, 0.7348)
P (0.3333, 0.6667, 0.2652)
Nd (0.0000, 0.0000, 0.0000)
Pd (0.0000, 0.0000, 0.5000)
Li (0.3333, 0.6667, 0.6462)
Li (0.6667, 0.3333, 0.3538)

Output
electronic total energy = -4.9324 eV per atom
total moment = 0.004 μB per formula unit
space group = No. 164

=====

No. 7
The following is a DFT calculation (PBE-GGA) of crystalline ZrTaZnFe at its relaxed geometry.

abc: 4.4860 4.4860 4.4860
angles: 60.00 60.00 60.00
Positions (direct):
Fe (0.7500, 0.7500, 0.7500)
Ta (0.5000, 0.5000, 0.5000)
Zr (0.2500, 0.2500, 0.2500)
Zn (0.0000, 0.0000, 0.0000)

Output
electronic total energy = -7.2791 eV per atom
total moment = 0.739 μB per formula unit
space group = No. 216
distance to the lowest polymorph of the same formula = 0 meV per atom
energy relative to the elements = 0.214 eV/atom

=====

No. 8
The following is a DFT calculation (PBE-GGA) of crystalline SiSnOs at its relaxed geometry.

abc: 4.3150 4.3150 4.3150
angles: 60.00 60.00 60.00
Positions (direct):
Sn (0.7500, 0.7500, 0.7500)
Os (0.0000, 0.0000, 0.0000)
Si (0.2500, 0.2500, 0.2500)

Output
electronic total energy = -6.6672 eV per atom
total moment = 0.005 μB per formula unit
space group = No. 216

=====

No. 9
The following is a DFT calculation (PBE-GGA) of crystalline InCo3As5 at its relaxed geometry.

abc: 4.9903 4.9903 7.4423
angles: 90.00 90.00 120.00
Positions (direct):
As (0.3333, 0.6667, 0.2381)
As (0.0000, 0.0000, 0.5000)
As (0.6667, 0.3333, 0.7619)
As (0.3333, 0.6667, 0.7619)
As (0.6667, 0.3333, 0.2381)
Co (0.0000, 0.5000, 0.5000)
Co (0.5000, 0.0000, 0.5000)
Co (0.5000, 0.5000, 0.5000)
In (0.0000, 0.0000, 0.0000)

Output
electronic total energy = -5.2945 eV per atom
total moment = 0.065 μB per formula unit
space group = No. 191

=====

No. 10
The following is a DFT calculation (PBE-GGA) of crystalline PmGdNO at its relaxed geometry.

abc: 3.9030 5.7671 6.7772
angles: 90.00 90.00 90.00
Positions (direct):
N (0.0000, 0.3971, 0.6731)
N (0.0000, 0.8971, 0.3269)
Gd (0.5000, 0.9899, 0.1690)
Gd (0.5000, 0.4899, 0.8310)
Pm (0.0000, 0.4864, 0.3384)
Pm (0.0000, 0.9864, 0.6616)
O (0.5000, 0.8806, 0.8440)
O (0.5000, 0.3806, 0.1560)

Output
electronic total energy = -7.6720 eV per atom
total moment = 0.018 μB per formula unit
space group = No. 26
distance to the lowest polymorph of the same formula = 140 meV per atom

=====

No. 11
The following is a DFT calculation (PBE-GGA) of crystalline LuTaTlFe at its relaxed geometry.

abc: 4.7517 4.7517 4.7517
angles: 60.00 60.00 60.00
Positions (direct):
Lu (0.2500, 0.2500, 0.2500)
Ta (0.5000, 0.5000, 0.5000)
Fe (0.7500, 0.7500, 0.7500)
Tl (0.0000, 0.0000, 0.0000)

Output
electronic total energy = -6.2491 eV per atom
total moment = 0.959 μB per formula unit
space group = No. 216
distance to the lowest polymorph of the same formula = 0 meV per atom

=====

No. 12
The following is a DFT calculation (PBE-GGA) of crystalline LaSmZr2Sb2 at its relaxed geometry.

abc: 9.1287 9.1287 9.1287
angles: 152.33 152.33 39.53
Site moments in Bohr magnetons follow the coordinates.
Positions (direct):
Sb (0.1272, 0.1272, 0.0000)  -0.01
Sb (0.8745, 0.8745, 0.0000)  -0.01
Zr (0.5010, 0.0010, 0.5000)  0.02
Zr (0.0010, 0.5010, 0.5000)  0.03
Sm (0.6748, 0.6748, 0.0000)  0.09
La (0.3217, 0.3217, 0.0000)  0.07

Output
electronic total energy = -6.6434 eV per atom
total moment = 0.546 μB per formula unit
space group = No. 107